[1]
DFT (PBE) results for LiSb2Br after structural relaxation.

Cell and atoms, written as POSCAR:
```
LiSb2Br
1.0
0.000 3.738 3.738
3.738 0.000 3.738
3.738 3.738 0.000
Li Sb Br
1 2 1
direct
0.000 0.000 0.000
0.250 0.250 0.250
0.500 0.500 0.500
0.750 0.750 0.750
```

Computed properties:
The value obtained for the total magnetic moment is 0.000 μB/atom. The density of states at the Fermi level is 0.482 states/eV per atom. Its uncorrected formation energy is -171 meV/atom. Its raw total energy is -12.52 eV for the cell shown.


[2]
DFT (PBE) results for PrThPb2 after structural relaxation.

Cell and atoms, written as POSCAR:
```
PrThPb2
1.0
5.128 0.000 0.000
0.000 5.128 0.000
0.000 0.000 4.609
Pr Th Pb
1 1 2
direct
0.000 0.000 0.000
0.500 0.500 0.000
0.000 0.500 0.500
0.500 0.000 0.500
```

Computed properties:
The value obtained for the total magnetic moment is 0.000 μB/atom. The value obtained for the energy of formation from the pure elements is -8.85 kcal/mol of atoms. The density of states at the Fermi level is 1.133 states/eV per atom. Its raw total energy is -21.15 eV for the cell shown.


[3]
DFT (PBE) results for SmAlCd2 after structural relaxation.

Cell and atoms, written as POSCAR:
```
SmAlCd2
1.0
4.436 0.000 0.000
0.000 4.436 0.000
0.000 0.000 4.785
Sm Al Cd
1 1 2
direct
0.000 0.000 0.000
0.500 0.500 0.000
0.000 0.500 0.500
0.500 0.000 0.500
```

Computed properties:
The value obtained for the total magnetic moment is 0.000 μB/atom. The value obtained for the energy of formation from the pure elements is -6.23 kcal/mol of atoms. The density of states at the Fermi level is 0.651 states/eV per atom. Its raw total energy is -11.37 eV for the cell shown.


[4]
DFT (PBE) results for Hf5Mn2Os after structural relaxation.

Cell and atoms, written as POSCAR:
```
Hf5Mn2Os
1.0
-3.273 3.273 6.923
3.273 -3.273 6.923
3.273 3.273 -6.923
Hf Mn Os
10 4 2
direct
0.000 0.000 0.000
0.032 0.532 0.857
0.175 0.032 0.500
0.325 0.825 0.857
0.468 0.325 0.500
0.500 0.500 0.000
0.532 0.675 0.500
0.675 0.175 0.143
0.825 0.968 0.500
0.968 0.468 0.143
0.112 0.388 0.500
0.388 0.888 0.276
0.612 0.112 0.724
0.888 0.612 0.500
0.250 0.250 0.000
0.750 0.750 0.000
```

Computed properties:
The value obtained for the total magnetic moment is 0.000 μB/atom. The value obtained for the energy of formation from the pure elements is -4.79 kcal/mol of atoms. The density of states at the Fermi level is 1.191 states/eV per atom. Its raw total energy is -162.00 eV for the cell shown.


[5]
DFT (PBE) results for Sc6AgRu5 after structural relaxation.

Cell and atoms, written as POSCAR:
```
Sc6AgRu5
1.0
-2.288 3.268 6.826
2.288 -3.268 6.826
2.288 3.268 -6.826
Sc Ag Ru
6 1 5
direct
0.070 0.328 0.742
0.234 0.000 0.234
0.414 0.672 0.742
0.586 0.328 0.258
0.766 0.000 0.766
0.930 0.672 0.258
0.500 0.500 0.000
0.000 0.500 0.500
0.167 0.167 0.000
0.337 0.837 0.500
0.663 0.163 0.500
0.833 0.833 0.000
```

Computed properties:
The value obtained for the total magnetic moment is 0.000 μB/atom. The value obtained for the energy of formation from the pure elements is -12.56 kcal/mol of atoms. The density of states at the Fermi level is 0.636 states/eV per atom. Its raw total energy is -93.75 eV for the cell shown.


[6]
DFT (PBE) results for Zr6C2S after structural relaxation.

Cell and atoms, written as POSCAR:
```
Zr6C2S
1.0
5.924 0.000 0.000
-2.962 5.131 0.000
0.000 0.000 5.455
Zr C S
6 2 1
direct
0.000 0.355 0.252
0.000 0.645 0.748
0.355 0.000 0.252
0.355 0.355 0.748
0.645 0.000 0.748
0.645 0.645 0.252
0.333 0.667 0.500
0.667 0.333 0.500
0.000 0.000 0.500
```

Computed properties:
The value obtained for the total magnetic moment is 0.000 μB/atom. The density of states at the Fermi level is 1.073 states/eV per atom. Its uncorrected formation energy is -706 meV/atom. Its raw total energy is -80.22 eV for the cell shown.


[7]
DFT (PBE) results for CaCd2Cl after structural relaxation.

Cell and atoms, written as POSCAR:
```
CaCd2Cl
1.0
2.845 -6.326 0.000
2.845 6.326 0.000
-2.829 0.000 2.992
Ca Cd Cl
1 2 1
direct
0.000 0.000 0.000
0.000 0.500 0.500
0.500 0.000 0.500
0.500 0.500 0.000
```

Computed properties:
The value obtained for the total magnetic moment is 0.000 μB/atom. The density of states at the Fermi level is 0.507 states/eV per atom. Its uncorrected formation energy is -726 meV/atom. Its raw total energy is -8.58 eV for the cell shown.


[8]
DFT (PBE) results for ZnBiO2F after structural relaxation.

Cell and atoms, written as POSCAR:
```
ZnBiO2F
1.0
4.373 0.000 0.000
0.000 4.373 0.000
0.000 0.000 4.479
Zn Bi O F
1 1 2 1
direct
0.000 0.000 0.000
0.500 0.500 0.500
0.000 0.500 0.500
0.500 0.000 0.500
0.500 0.500 0.000
```

Computed properties:
The value obtained for the total magnetic moment is 0.000 μB/atom. The density of states at the Fermi level is 0.543 states/eV per atom. Its uncorrected formation energy is -747 meV/atom. Its raw total energy is -20.68 eV for the cell shown.


[9]
DFT (PBE) results for FeNi4Br after structural relaxation.

Cell and atoms, written as POSCAR:
```
FeNi4Br
1.0
0.000 3.410 3.410
3.410 0.000 3.410
3.410 3.410 0.000
Fe Ni Br
1 4 1
direct
0.000 0.000 0.000
0.374 0.374 0.374
0.374 0.374 0.878
0.374 0.878 0.374
0.878 0.374 0.374
0.750 0.750 0.750
```

Computed properties:
The value obtained for the total magnetic moment is 0.872 μB/atom. The density of states at the Fermi level is 0.996 states/eV per atom. Its uncorrected formation energy is 531 meV/atom. Its raw total energy is -30.07 eV for the cell shown.


[10]
DFT (PBE) results for RbCoAsPb2 after structural relaxation.

Cell and atoms, written as POSCAR:
```
RbCoAsPb2
1.0
6.014 0.000 0.000
0.000 6.014 0.000
0.000 0.000 5.455
Rb Co As Pb
1 1 1 2
direct
0.000 0.000 0.000
0.500 0.500 0.500
0.000 0.000 0.500
0.000 0.500 0.000
0.500 0.000 0.000
```

Computed properties:
The value obtained for the total magnetic moment is 0.414 μB/atom. The value obtained for the energy of formation from the pure elements is 44.21 kcal/mol of atoms. The density of states at the Fermi level is 2.031 states/eV per atom. Its raw total energy is -10.55 eV for the cell shown.


[11]
DFT (PBE) results for KHg3Te after structural relaxation.

Cell and atoms, written as POSCAR:
```
KHg3Te
1.0
6.310 0.000 0.000
0.000 6.310 0.000
0.000 0.000 6.310
K Hg Te
1 3 1
direct
0.000 0.000 0.000
0.000 0.000 0.500
0.000 0.500 0.000
0.500 0.000 0.000
0.500 0.500 0.500
```

Computed properties:
The value obtained for the total magnetic moment is 0.200 μB/atom. The density of states at the Fermi level is 1.434 states/eV per atom. Its uncorrected formation energy is 244 meV/atom. Its raw total energy is -3.92 eV for the cell shown.


[12]
DFT (PBE) results for P2C after structural relaxation.

Cell and atoms, written as POSCAR:
```
P2C
1.0
5.944 0.000 0.000
-2.972 5.148 0.000
0.000 0.000 6.601
P C
8 4
direct
0.000 0.000 0.000
0.000 0.000 0.500
0.178 0.357 0.250
0.178 0.822 0.250
0.357 0.178 0.750
0.643 0.822 0.250
0.822 0.178 0.750
0.822 0.643 0.750
0.333 0.667 0.106
0.333 0.667 0.394
0.667 0.333 0.606
0.667 0.333 0.894
```

Computed properties:
The value obtained for the total magnetic moment is 0.000 μB/atom. The value obtained for the energy of formation from the pure elements is 30.83 kcal/mol of atoms. The density of states at the Fermi level is 0.364 states/eV per atom. Its raw total energy is -64.13 eV for the cell shown.